The following is a DFT calculation (PBE) of a geometry-optimized SbP2BrO structure.

Lattice parameters (Å, degrees): 4.9093 4.9093 4.0001 90.00 90.00 90.00
With the nearest neighbours (Å) after each atom.
Element x y z (fractional)
Sb1 0.5000 0.5000 0.5000  8 P 3.17, 4 O 3.47
O1 0.0000 0.0000 0.5000  2 Br 2.00
Br1 0.0000 0.0000 0.0000  2 O 2.00
P1 0.0000 0.5000 0.0000  2 Br 2.45
P2 0.5000 0.0000 0.0000  2 Br 2.45

Calculated values
The calculation puts the uncorrected formation energy at 21.838 kcal/mol of atoms. The relative energy among the computed polymorphs comes out at 0.397 eV/atom. As for the density: 4.82 g/cm3.

---

The following is a DFT calculation (PBE) of a geometry-optimized ScPBrO2 structure.

Lattice parameters (Å, degrees): 3.9345 3.9345 5.1231 90.00 90.00 90.00
With the nearest neighbours (Å) after each atom.
Element x y z (fractional)
Sc1 0.5000 0.5000 0.5000  4 P 2.78
P1 0.0000 0.0000 0.5000  2 Br 2.56, 4 Sc 2.78
O1 0.0000 0.5000 0.0000  2 Br 1.97
O2 0.5000 0.0000 0.0000  2 Br 1.97
Br1 0.0000 0.0000 0.0000  4 O 1.97

Calculated values
The calculation puts the uncorrected formation energy at 0.021 kcal/mol of atoms. The relative energy among the computed polymorphs comes out at 0.860 eV/atom. As for the density: 3.93 g/cm3.

---

The following is a DFT calculation (PBE) of a geometry-optimized ScPBrO2 structure.

Lattice parameters (Å, degrees): 3.9727 3.9727 5.9934 90.00 90.00 90.00
With the nearest neighbours (Å) after each atom.
Element x y z (fractional)
Sc1 0.0000 0.0000 0.0000  4 O 1.99
P1 0.0000 0.0000 0.5000  4 Br 2.81, 2 Sc 3.00
O1 0.0000 0.5000 0.0000  2 Sc 1.99
O2 0.5000 0.0000 0.0000  2 Sc 1.99
Br1 0.5000 0.5000 0.5000  4 P 2.81

Calculated values
The calculation puts the uncorrected formation energy at -19.822 kcal/mol of atoms. The relative energy among the computed polymorphs comes out at 0.000 eV/atom. As for the density: 3.30 g/cm3.

---

The following is a DFT calculation (PBE) of a geometry-optimized PSe2BrO structure.

Lattice parameters (Å, degrees): 4.1001 4.1001 6.1444 90.00 90.00 90.00
With the nearest neighbours (Å) after each atom.
Element x y z (fractional)
O1 0.0000 0.0000 0.0000  4 Se 2.05
P1 0.5000 0.5000 0.5000  4 Br 2.90
Se1 0.0000 0.5000 0.0000  2 O 2.05
Se2 0.5000 0.0000 0.0000  2 O 2.05
Br1 0.0000 0.0000 0.5000  4 P 2.90, 2 O 3.07

Calculated values
The calculation puts the uncorrected formation energy at 16.127 kcal/mol of atoms. The relative energy among the computed polymorphs comes out at 0.000 eV/atom. As for the density: 4.58 g/cm3.

---

The following is a DFT calculation (PBE) of a geometry-optimized P2SeBrO structure.

Lattice parameters (Å, degrees): 5.0141 5.0141 3.7653 90.00 90.00 90.00
With the nearest neighbours (Å) after each atom.
Element x y z (fractional)
O1 0.0000 0.0000 0.5000  2 Se 1.88
P1 0.0000 0.5000 0.0000  2 Se 2.51
P2 0.5000 0.0000 0.0000  2 Se 2.51
Se1 0.0000 0.0000 0.0000  2 O 1.88
Br1 0.5000 0.5000 0.5000  8 P 3.14

Calculated values
The calculation puts the uncorrected formation energy at 16.496 kcal/mol of atoms. The relative energy among the computed polymorphs comes out at 0.000 eV/atom. As for the density: 4.15 g/cm3.

---

The following is a DFT calculation (PBE) of a geometry-optimized PSe2BrO structure.

Lattice parameters (Å, degrees): 4.8268 4.8268 4.8499 90.00 90.00 90.00
With the nearest neighbours (Å) after each atom.
Element x y z (fractional)
O1 0.5000 0.5000 0.5000  4 Br 3.41, 8 Se 3.42
P1 0.0000 0.0000 0.0000  4 Se 2.41, 2 Br 2.42
Se1 0.0000 0.5000 0.0000  2 P 2.41
Se2 0.5000 0.0000 0.0000  2 P 2.41
Br1 0.0000 0.0000 0.5000  2 P 2.42

Calculated values
The calculation puts the uncorrected formation energy at 23.771 kcal/mol of atoms. The relative energy among the computed polymorphs comes out at 0.331 eV/atom. As for the density: 4.19 g/cm3.

---

The following is a DFT calculation (PBE) of a geometry-optimized P2SeBrO structure.

Lattice parameters (Å, degrees): 4.9534 4.9534 3.8682 90.00 90.00 90.00
With the nearest neighbours (Å) after each atom.
Element x y z (fractional)
O1 0.0000 0.0000 0.5000  2 Br 1.93
P1 0.0000 0.5000 0.0000  2 Br 2.48
P2 0.5000 0.0000 0.0000  2 Br 2.48
Se1 0.5000 0.5000 0.5000  8 P 3.14, 4 O 3.50
Br1 0.0000 0.0000 0.0000  2 O 1.93

Calculated values
The calculation puts the uncorrected formation energy at 27.090 kcal/mol of atoms. The relative energy among the computed polymorphs comes out at 0.459 eV/atom. As for the density: 4.14 g/cm3.

---

The following is a DFT calculation (PBE) of a geometry-optimized SiP2BrO structure.

Lattice parameters (Å, degrees): 4.8702 4.8702 3.3619 90.00 90.00 90.00
With the nearest neighbours (Å) after each atom.
Element x y z (fractional)
P1 0.0000 0.5000 0.0000  2 Si 2.44
P2 0.5000 0.0000 0.0000  2 Si 2.44
Si1 0.0000 0.0000 0.0000  2 O 1.68
O1 0.0000 0.0000 0.5000  2 Si 1.68
Br1 0.5000 0.5000 0.5000  8 P 2.96

Calculated values
The calculation puts the uncorrected formation energy at 1.157 kcal/mol of atoms. The relative energy among the computed polymorphs comes out at 0.000 eV/atom. As for the density: 3.87 g/cm3.